# 1
Entry from the Alexandria database: crystalline Zn2AsH at its relaxed geometry (GGA-PBE).

Values from the calculation:
- V: 17.02 Å³/atom
- Energy relative to the lowest polymorph listed for this composition: 49 meV per atom

a = 4.067 Å, b = 4.070 Å, c = 4.338 Å
α = 81.69°, β = 81.58°, γ = 74.63°
Space group P1 (No. 1)
Unique sites:
1 Zn 0.000 0.000 0.000 (multiplicity 1)
2 Zn 0.425 0.426 0.640 (multiplicity 1)
3 As 0.611 0.609 0.096 (multiplicity 1)
4 H 0.169 0.165 0.630 (multiplicity 1)

***

# 2
Entry from the Alexandria database: crystalline MgCo4Ge6 at its relaxed geometry (GGA-PBE).

Values from the calculation:
- V: 15.02 Å³/atom
- ΔE_f: -0.258 eV/atom

a = 6.164 Å, b = 6.164 Å, c = 8.697 Å
α = 90.00°, β = 90.00°, γ = 90.00°
Space group I-42m (No. 121)
Unique sites:
1 Mg 0.000 0.000 0.000 (multiplicity 2)
2 Co 0.181 0.181 0.578 (multiplicity 8)
3 Ge 0.000 0.500 0.000 (multiplicity 4)
4 Ge 0.167 0.167 0.293 (multiplicity 8)

***

# 3
Entry from the Alexandria database: crystalline ReIr2Pt at its relaxed geometry (GGA-PBE).

Values from the calculation:
- V: 15.29 Å³/atom
- Energy relative to the lowest polymorph listed for this composition: 562 meV per atom
- ΔE_f: 0.412 eV/atom

a = 6.254 Å, b = 6.254 Å, c = 6.254 Å
α = 90.00°, β = 90.00°, γ = 90.00°
Space group Fm-3m (No. 225)
Unique sites:
1 Re 0.000 0.000 0.000 (multiplicity 4)
2 Ir 0.250 0.250 0.250 (multiplicity 8)
3 Pt 0.000 0.000 0.500 (multiplicity 4)

***

# 4
Entry from the Alexandria database: crystalline La2InBr at its relaxed geometry (GGA-PBE).

Values from the calculation:
- V: 31.23 Å³/atom
- Energy relative to the lowest polymorph listed for this composition: 74 meV per atom
- Formation energy without anion corrections: -0.809 eV per atom

a = 5.371 Å, b = 3.775 Å, c = 12.321 Å
α = 90.00°, β = 90.00°, γ = 90.00°
Space group Amm2 (No. 38)
Unique sites:
1 La 0.000 0.000 0.000 (multiplicity 2)
2 La 0.500 0.000 0.254 (multiplicity 2)
3 In 0.500 0.000 0.515 (multiplicity 2)
4 Br 0.000 0.000 0.749 (multiplicity 2)

***

# 5
Entry from the Alexandria database: crystalline Mn2InPb at its relaxed geometry (GGA-PBE).

Values from the calculation:
- V: 20.26 Å³/atom
- Energy relative to the lowest polymorph listed for this composition: 174 meV per atom
- ΔE_f: 0.450 eV/atom

a = 6.870 Å, b = 6.870 Å, c = 6.870 Å
α = 90.00°, β = 90.00°, γ = 90.00°
Space group Fm-3m (No. 225)
Unique sites:
1 Mn 0.250 0.250 0.250 (multiplicity 8)
2 In 0.000 0.000 0.000 (multiplicity 4)
3 Pb 0.000 0.000 0.500 (multiplicity 4)

***

# 6
Entry from the Alexandria database: crystalline Rb2TiAu at its relaxed geometry (GGA-PBE).

Values from the calculation:
- V: 53.14 Å³/atom
- Energy relative to the lowest polymorph listed for this composition: 0 meV per atom
- ΔE_f: 0.519 eV/atom

a = 12.753 Å, b = 12.753 Å, c = 5.228 Å
α = 90.00°, β = 90.00°, γ = 90.00°
Space group I-42d (No. 122)
Unique sites:
1 Rb 0.094 0.250 0.125 (multiplicity 8)
2 Ti 0.000 0.000 0.500 (multiplicity 4)
3 Au 0.000 0.000 0.000 (multiplicity 4)

***

# 7
Entry from the Alexandria database: crystalline CsInSi at its relaxed geometry (GGA-PBE).

Values from the calculation:
- V: 35.23 Å³/atom
- Formation energy without anion corrections: 0.021 eV per atom

a = 4.571 Å, b = 6.427 Å, c = 8.030 Å
α = 91.72°, β = 105.61°, γ = 110.13°
Space group P1 (No. 1)
Unique sites:
1 Cs 0.000 0.000 0.000 (multiplicity 1)
2 Cs 0.445 0.574 0.300 (multiplicity 1)
3 In 0.270 0.985 0.582 (multiplicity 1)
4 In 0.637 0.415 0.820 (multiplicity 1)
5 Si 0.142 0.567 0.675 (multiplicity 1)
6 Si 0.841 0.201 0.503 (multiplicity 1)

***

# 8
Entry from the Alexandria database: crystalline KZr3Se at its relaxed geometry (GGA-PBE).

Values from the calculation:
- V: 24.70 Å³/atom
- Energy relative to the lowest polymorph listed for this composition: 1600 meV per atom
- Formation energy without anion corrections: 1.889 eV per atom

a = 4.980 Å, b = 4.980 Å, c = 4.980 Å
α = 90.00°, β = 90.00°, γ = 90.00°
Space group Pm-3m (No. 221)
Unique sites:
1 K 0.000 0.000 0.000 (multiplicity 1)
2 Zr 0.000 0.000 0.500 (multiplicity 3)
3 Se 0.500 0.500 0.500 (multiplicity 1)

***

# 9
Entry from the Alexandria database: crystalline Sr2ZnBr at its relaxed geometry (GGA-PBE).

Values from the calculation:
- V: 36.70 Å³/atom
- Energy relative to the lowest polymorph listed for this composition: 676 meV per atom
- Formation energy without anion corrections: -0.141 eV per atom

a = 8.374 Å, b = 8.374 Å, c = 8.374 Å
α = 90.00°, β = 90.00°, γ = 90.00°
Space group F-43m (No. 216)
Unique sites:
1 Sr 0.000 0.000 0.000 (multiplicity 4)
2 Sr 0.250 0.250 0.250 (multiplicity 4)
3 Zn 0.250 0.250 0.750 (multiplicity 4)
4 Br 0.000 0.000 0.500 (multiplicity 4)

***

# 10
Entry from the Alexandria database: crystalline YHo8Ir6 at its relaxed geometry (GGA-PBE).

Values from the calculation:
- V: 23.47 Å³/atom
- ΔE_f: -0.806 eV/atom

a = 8.2584 Å, b = 8.2584 Å, c = 17.8816 Å
α = 90.00°, β = 90.00°, γ = 120.00°
Space group R-3 (No. 148, hexagonal axes)
Unique sites:
1 Y 0.0000 0.0000 0.0000 (multiplicity 3)
2 Ho 0.0000 0.0000 0.3336 (multiplicity 6)
3 Ho 0.0004 0.3329 0.2214 (multiplicity 18)
4 Ir 0.0000 0.3346 0.0569 (multiplicity 18)

***

# 11
Entry from the Alexandria database: crystalline ScRu2F at its relaxed geometry (GGA-PBE).

Values from the calculation:
- V: 14.61 Å³/atom
- Energy relative to the lowest polymorph listed for this composition: 451 meV per atom
- Formation energy without anion corrections: 0.202 eV per atom

a = 6.161 Å, b = 6.161 Å, c = 6.161 Å
α = 90.00°, β = 90.00°, γ = 90.00°
Space group Fm-3m (No. 225)
Unique sites:
1 Sc 0.000 0.000 0.000 (multiplicity 4)
2 Ru 0.250 0.250 0.250 (multiplicity 8)
3 F 0.000 0.000 0.500 (multiplicity 4)

***

# 12
Entry from the Alexandria database: crystalline GaBiNO2 at its relaxed geometry (GGA-PBE).

Values from the calculation:
- V: 15.75 Å³/atom
- Formation energy without anion corrections: 0.299 eV per atom

a = 4.215 Å, b = 4.215 Å, c = 4.432 Å
α = 90.00°, β = 90.00°, γ = 90.00°
Space group P4/mmm (No. 123)
Unique sites:
1 Ga 0.000 0.000 0.000 (multiplicity 1)
2 Bi 0.500 0.500 0.500 (multiplicity 1)
3 N 0.500 0.500 0.000 (multiplicity 1)
4 O 0.000 0.500 0.500 (multiplicity 2)

***

# 13
Entry from the Alexandria database: crystalline KLiCdS2 at its relaxed geometry (GGA-PBE).

Values from the calculation:
- V: 29.87 Å³/atom
- Formation energy without anion corrections: -0.044 eV per atom

a = 5.236 Å, b = 5.236 Å, c = 5.448 Å
α = 90.00°, β = 90.00°, γ = 90.00°
Space group P4/mmm (No. 123)
Unique sites:
1 K 0.000 0.000 0.000 (multiplicity 1)
2 Li 0.500 0.500 0.000 (multiplicity 1)
3 Cd 0.000 0.000 0.500 (multiplicity 1)
4 S 0.000 0.500 0.500 (multiplicity 2)

***

# 14
Entry from the Alexandria database: crystalline Er4CoGe3 at its relaxed geometry (GGA-PBE).

Values from the calculation:
- V: 21.58 Å³/atom
- ΔE_f: -0.689 eV/atom

a = 3.945 Å, b = 4.143 Å, c = 10.566 Å
α = 90.00°, β = 90.00°, γ = 90.00°
Space group Pmm2 (No. 25)
Unique sites:
1 Er 0.000 0.000 0.000 (multiplicity 1)
2 Er 0.000 0.500 0.480 (multiplicity 1)
3 Er 0.500 0.000 0.706 (multiplicity 1)
4 Er 0.500 0.500 0.213 (multiplicity 1)
5 Co 0.000 0.000 0.275 (multiplicity 1)
6 Ge 0.000 0.500 0.763 (multiplicity 1)
7 Ge 0.500 0.000 0.422 (multiplicity 1)
8 Ge 0.500 0.500 0.929 (multiplicity 1)

***

# 15
Entry from the Alexandria database: crystalline ZnPtCl2 at its relaxed geometry (GGA-PBE).

Values from the calculation:
- V: 23.73 Å³/atom
- Energy relative to the lowest polymorph listed for this composition: 416 meV per atom
- Formation energy without anion corrections: 0.007 eV per atom

a = 3.2108 Å, b = 3.2108 Å, c = 31.8981 Å
α = 90.00°, β = 90.00°, γ = 120.00°
Space group R-3m (No. 166, hexagonal axes)
Unique sites:
1 Zn 0.0000 0.0000 0.0000 (multiplicity 3)
2 Pt 0.0000 0.0000 0.5000 (multiplicity 3)
3 Cl 0.0000 0.0000 0.2854 (multiplicity 6)

***

# 16
Entry from the Alexandria database: crystalline Cs2CaNp2Se6 at its relaxed geometry (GGA-PBE).

Values from the calculation:
- V: 36.01 Å³/atom
- Formation energy without anion corrections: -1.366 eV per atom

a = 7.296 Å, b = 12.718 Å, c = 8.846 Å
α = 90.00°, β = 105.18°, γ = 90.00°
Space group C2/m (No. 12)
Unique sites:
1 Cs 0.000 0.162 0.000 (multiplicity 4)
2 Ca 0.000 0.000 0.500 (multiplicity 2)
3 Np 0.000 0.334 0.500 (multiplicity 4)
4 Se 0.207 0.500 0.681 (multiplicity 4)
5 Se 0.232 0.176 0.680 (multiplicity 8)

***

# 17
Entry from the Alexandria database: crystalline SrCd7In12 at its relaxed geometry (GGA-PBE).

Values from the calculation:
- V: 32.10 Å³/atom
- ΔE_f: 0.165 eV/atom

a = 10.869 Å, b = 10.869 Å, c = 10.869 Å
α = 90.00°, β = 90.00°, γ = 90.00°
Space group Im-3 (No. 204)
Unique sites:
1 Sr 0.000 0.000 0.000 (multiplicity 2)
2 Cd 0.000 0.000 0.500 (multiplicity 6)
3 Cd 0.250 0.250 0.250 (multiplicity 8)
4 In 0.000 0.284 0.159 (multiplicity 24)

***

# 18
Entry from the Alexandria database: crystalline Ho4Te2PbSe at its relaxed geometry (GGA-PBE).

Values from the calculation:
- V: 28.20 Å³/atom
- Formation energy without anion corrections: -1.204 eV per atom

a = 7.417 Å, b = 4.302 Å, c = 7.498 Å
α = 90.00°, β = 109.44°, γ = 90.00°
Space group P2/m (No. 10)
Unique sites:
1 Ho 0.234 0.000 0.227 (multiplicity 2)
2 Ho 0.247 0.500 0.764 (multiplicity 2)
3 Te 0.000 0.000 0.500 (multiplicity 1)
4 Te 0.500 0.500 0.500 (multiplicity 1)
5 Pb 0.500 0.000 0.000 (multiplicity 1)
6 Se 0.000 0.500 0.000 (multiplicity 1)

***

# 19
Entry from the Alexandria database: crystalline NdNi5Hg at its relaxed geometry (GGA-PBE).

Values from the calculation:
- V: 14.97 Å³/atom
- ΔE_f: -0.190 eV/atom

a = 8.226 Å, b = 4.900 Å, c = 10.400 Å
α = 90.00°, β = 90.00°, γ = 90.00°
Space group Pnma (No. 62)
Unique sites:
1 Nd 0.245 0.250 0.061 (multiplicity 4)
2 Ni 0.048 0.750 0.114 (multiplicity 4)
3 Ni 0.068 0.501 0.314 (multiplicity 8)
4 Ni 0.077 0.250 0.516 (multiplicity 4)
5 Ni 0.187 0.250 0.739 (multiplicity 4)
6 Hg 0.138 0.750 0.865 (multiplicity 4)

***

# 20
Entry from the Alexandria database: crystalline CaHoAs2Pd5 at its relaxed geometry (GGA-PBE).

Values from the calculation:
- V: 18.25 Å³/atom
- ΔE_f: -0.726 eV/atom

a = 4.288 Å, b = 4.288 Å, c = 8.936 Å
α = 90.00°, β = 90.00°, γ = 90.00°
Space group P4/mmm (No. 123)
Unique sites:
1 Ca 0.000 0.000 0.000 (multiplicity 1)
2 Ho 0.000 0.000 0.500 (multiplicity 1)
3 As 0.500 0.500 0.363 (multiplicity 2)
4 Pd 0.000 0.500 0.230 (multiplicity 4)
5 Pd 0.500 0.500 0.000 (multiplicity 1)

***

| no. | D(E_F) (states/eV/cell) |
| --- | --- |
| 1 | 0.07 |
| 2 | 9.28 |
| 3 | 15.62 |
| 4 | 5.91 |
| 5 | 23.87 |
| 6 | 12.49 |
| 7 | 1.46 |
| 8 | 5.39 |
| 9 | 19.59 |
| 10 | 26.76 |
| 11 | 17.07 |
| 12 | 3.38 |
| 13 | 1.28 |
| 14 | 6.62 |
| 15 | 14.14 |
| 16 | 31.23 |
| 17 | 28.45 |
| 18 | 3.18 |
| 19 | 35.91 |
| 20 | 2.17 |